1.
Tb7Pm3Er2 after structural relaxation, computed with PBE.

Values from the calculation:
VASP energy ... -4.5623 eV per atom
Size of the total moment ... 0.00 μB per cell
Excess energy over the best structure of this formula in the dataset ... 0 meV per atom

a b c (Å): 5.8424 3.5687 18.8086
angles (deg): 90.00 93.02 90.00
Space group P2/m (No. 10)
Unique sites:
Tb 0.0000 0.0000 0.0000
Tb 0.1895 0.5000 0.1779
Tb 0.2572 0.5000 0.5367
Tb 0.3125 0.0000 0.8557
Pm 0.2185 0.0000 0.3664
Pm 0.5000 0.5000 0.0000
Er 0.2918 0.5000 0.7064

2.
Tb4Pm4Er after structural relaxation, computed with PBE.

Values from the calculation:
VASP energy ... -4.6583 eV per atom
Size of the total moment ... 0.00 μB per cell
Excess energy over the best structure of this formula in the dataset ... 0 meV per atom

a b c (Å): 10.7870 10.7870 5.0809
angles (deg): 90.00 90.00 90.00
Space group I4/mmm (No. 139)
Unique sites:
Tb 0.1658 0.1658 0.0000
Pm 0.0000 0.3314 0.5000
Er 0.0000 0.0000 0.5000

3.
Tb12Pm2Er after structural relaxation, computed with PBE.

Values from the calculation:
VASP energy ... -4.5259 eV per atom
Size of the total moment ... 0.00 μB per cell

a b c (Å): 7.0570 11.3177 24.6508
angles (deg): 90.00 96.66 90.00
Space group C2/m (No. 12)
Unique sites:
Tb 0.0323 0.2336 0.4286
Tb 0.1037 0.2455 0.9447
Tb 0.1507 0.5000 0.0755
Tb 0.1569 0.0000 0.0700
Tb 0.1944 0.2532 0.1702
Tb 0.1982 0.5000 0.6202
Tb 0.2267 0.0000 0.6493
Tb 0.2393 0.2305 0.3010
Pm 0.0289 0.0000 0.7769
Pm 0.0400 0.5000 0.7752
Er 0.2442 0.5000 0.4851

no.,density of states at the Fermi level (states/eV per cell),ΔH_f (0 K) (eV per formula unit)
1,15.277,1.04
2,26.934,0.16
3,85.617,1.74